Record 1
Density functional theory data (PBE) for crystalline Cs2LiIn3Bi4 at its relaxed geometry.

Structure (POSCAR):
```
Cs2LiIn3Bi4
1.0
5.546 0.000 0.000
0.000 5.546 0.000
0.000 0.000 11.910
Cs Li In Bi
2 1 3 4
Direct
0.500 0.000 0.254
0.000 0.500 0.746
0.500 0.500 0.500
0.000 0.000 0.500
0.500 0.000 0.874
0.000 0.500 0.126
0.500 0.500 0.000
0.000 0.000 0.000
0.500 0.000 0.622
0.000 0.500 0.378
```

## Properties
Calculated total energy: -2.98 eV per atom
Energy relative to the elements: -0.25 eV/atom

Record 2
Density functional theory data (PBE) for crystalline Y3TlO at its relaxed geometry.

Structure (POSCAR):
```
Y3TlO
1.0
-8.246 0.413 0.183
-5.494 -5.838 1.984
-5.121 -0.392 6.467
Y Tl O
6 2 2
Direct
0.949 0.551 0.250
0.551 0.250 0.949
0.250 0.949 0.551
0.750 0.051 0.449
0.449 0.750 0.051
0.051 0.449 0.750
0.000 0.000 0.000
0.500 0.500 0.500
0.250 0.250 0.250
0.750 0.750 0.750
```

## Properties
Calculated total energy: -6.37 eV per atom
E_form (uncorrected): -1.03 eV/atom

Record 3
Density functional theory data (PBE) for crystalline ZrMn2Cu2 at its relaxed geometry.

Structure (POSCAR):
```
ZrMn2Cu2
1.0
7.169 0.000 0.000
0.000 7.169 0.000
0.000 0.000 2.894
Mn Cu Zr
4 4 2
Direct
0.352 0.852 0.000
0.852 0.648 0.000
0.648 0.148 0.000
0.148 0.352 0.000
0.145 0.645 0.500
0.645 0.855 0.500
0.855 0.355 0.500
0.355 0.145 0.500
0.000 0.000 0.000
0.500 0.500 0.000
```

## Properties
Calculated total energy: -6.86 eV per atom
Energy relative to the elements: 0.15 eV/atom
Relative energy among the computed polymorphs: 14 meV per atom

Q: Which formula does entry 3 have?
A: ZrMn2Cu2

Q: calculated total energy of number 1 (Cs2LiIn3Bi4)?
A: -2.98 eV per atom